Material: La3Hg2Pd2Au4
Method: DFT, PBE
State: relaxed

Cell lengths 4.7813, 4.7813, 13.7718 Å; angles 90.00, 90.00, 120.00 degrees
Atoms (fractional coordinates):
La1 0.0000 0.0000 0.0000
La2 0.0000 0.0000 0.2638
La3 0.0000 0.0000 0.7362
Hg1 0.3333 0.6667 0.5742
Hg2 0.6667 0.3333 0.4258
Pd1 0.3333 0.6667 0.1430
Pd2 0.6667 0.3333 0.8570
Au1 0.3333 0.6667 0.3638
Au2 0.3333 0.6667 0.8759
Au3 0.6667 0.3333 0.1241
Au4 0.6667 0.3333 0.6362

Total moment (μB per atom): 0.000
ΔE_f (kJ/mol of formula units): -677
Space group: P-3m1